No. 1
DFT (PBE-GGA) results for crystalline PaCuSi at its relaxed geometry.

Summary:
SG: P-6m2, No. 187
Formation energy (no corrections) in kJ/mol of formula units: -127

Cell lengths 3.9285, 4.0321, 4.0321 Å; angles 120.00, 90.00, 90.00 degrees
With the nearest neighbours (Å) after each atom.
Sites, in units of the cell vectors:
Si (0.1664, 0.3333, 0.6667)  3 Cu 2.33
Pa (0.6666, 0.6667, 0.3333)  6 Cu 3.04-3.05, 6 Si 3.05
Cu (0.1670, 0.0000, 0.0000)  3 Si 2.33

---

No. 2
DFT (PBE-GGA) results for crystalline SmMgIr at its relaxed geometry.

Summary:
Electronic total energy in eV per atom: -5.691
SG: Pnma, No. 62

Cell lengths 4.1565, 8.6351, 7.1901 Å; angles 90.00, 90.00, 90.00 degrees
With the nearest neighbours (Å) after each atom.
Sites, in units of the cell vectors:
Sm (0.2500, 0.8237, 0.4606)  5 Ir 2.98-3.07, 4 Mg 3.30-3.33
Sm (0.7500, 0.3237, 0.0394)  5 Ir 2.98-3.07, 4 Mg 3.30-3.33
Sm (0.2500, 0.6763, 0.9606)  5 Ir 2.98-3.07, 4 Mg 3.30-3.33
Sm (0.7500, 0.1763, 0.5394)  5 Ir 2.98-3.07, 4 Mg 3.30-3.33
Mg (0.7500, 0.9416, 0.1339)  4 Ir 2.76-2.83, 2 Mg 3.01
Mg (0.7500, 0.5584, 0.6339)  4 Ir 2.76-2.83, 2 Mg 3.01
Mg (0.2500, 0.0584, 0.8661)  4 Ir 2.76-2.83, 2 Mg 3.01
Mg (0.2500, 0.4416, 0.3661)  4 Ir 2.76-2.83, 2 Mg 3.01
Ir (0.7500, 0.6285, 0.2525)  4 Mg 2.76-2.83, 5 Sm 2.98-3.07
Ir (0.7500, 0.8715, 0.7525)  4 Mg 2.76-2.83, 5 Sm 2.98-3.07
Ir (0.2500, 0.1285, 0.2475)  4 Mg 2.76-2.83, 5 Sm 2.98-3.07
Ir (0.2500, 0.3715, 0.7475)  4 Mg 2.76-2.83, 5 Sm 2.98-3.07

---

No. 3
DFT (PBE-GGA) results for crystalline Rb2BAsCl6 at its relaxed geometry.

Summary:
SG: I4/mmm, No. 139
Formation energy (no corrections) in kJ/mol of formula units: -774

Cell lengths 7.1412, 7.1412, 7.1218 Å; angles 59.91, 59.91, 90.00 degrees
With the nearest neighbours (Å) after each atom.
Sites, in units of the cell vectors:
As (0.0000, 0.0000, 0.0000)  6 Cl 2.54-2.55
B (0.5000, 0.5000, 0.0000)  6 Cl 2.48-2.51
Rb (0.7500, 0.2500, 0.5000)  12 Cl 3.56-3.57
Rb (0.2500, 0.7500, 0.5000)  12 Cl 3.56-3.57
Cl (0.2534, 0.2534, 0.4932)  1 B 2.48, 1 As 2.55
Cl (0.7466, 0.7466, 0.5068)  1 B 2.48, 1 As 2.55
Cl (0.2512, 0.2512, 0.0000)  1 B 2.51, 1 As 2.54
Cl (0.7488, 0.7488, 0.0000)  1 B 2.51, 1 As 2.54
Cl (0.7488, 0.2512, 0.0000)  1 B 2.51, 1 As 2.54
Cl (0.2512, 0.7488, 0.0000)  1 B 2.51, 1 As 2.54

---

No. 4
DFT (PBE-GGA) results for crystalline AgI2BrO at its relaxed geometry.

Summary:
Polymorph energy (0 for the lowest one) in meV/atom: 0
SG: P4/mmm, No. 123
Formation energy (no corrections) in kJ/mol of formula units: 218

Cell lengths 5.8474, 5.8474, 4.0013 Å; angles 90.00, 90.00, 90.00 degrees
With the nearest neighbours (Å) after each atom.
Sites, in units of the cell vectors:
I (0.0000, 0.5000, 0.0000)  2 Ag 2.92
I (0.5000, 0.0000, 0.0000)  2 Ag 2.92
O (0.0000, 0.0000, 0.5000)  2 Ag 2.00
Br (0.5000, 0.5000, 0.5000)  8 I 3.54
Ag (0.0000, 0.0000, 0.0000)  2 O 2.00

---

No. 5
DFT (PBE-GGA) results for crystalline NiPt2Rh at its relaxed geometry.

Summary:
Electronic total energy in eV per atom: -6.176
SG: F-43m, No. 216

Cell lengths 4.3445, 4.3445, 4.3453 Å; angles 60.01, 60.01, 60.00 degrees
With the nearest neighbours (Å) after each atom.
Sites, in units of the cell vectors:
Ni (0.7501, 0.7501, 0.7498)  4 Rh 2.66, 4 Pt 2.66
Pt (0.0001, 0.0001, 0.9998)  4 Pt 2.66, 4 Ni 2.66
Pt (0.2500, 0.2500, 0.2501)  4 Pt 2.66, 4 Rh 2.66
Rh (0.4999, 0.4999, 0.5003)  4 Ni 2.66, 4 Pt 2.66

---

No. 6
DFT (PBE-GGA) results for crystalline Ba2TlHgPt at its relaxed geometry.

Summary:
Polymorph energy (0 for the lowest one) in meV/atom: 0
SG: P2_1/m, No. 11

Cell lengths 4.6972, 9.1196, 8.8620 Å; angles 116.42, 90.00, 90.00 degrees
With the nearest neighbours (Å) after each atom.
Sites, in units of the cell vectors:
Ba (0.7500, 0.8783, 0.6537)  3 Pt 3.26-3.40, 2 Hg 3.56
Ba (0.7500, 0.7155, 0.0183)  3 Pt 3.24-3.28, 3 Hg 3.61
Ba (0.2500, 0.1217, 0.3463)  3 Pt 3.26-3.40, 2 Hg 3.56
Ba (0.2500, 0.2845, 0.9817)  3 Pt 3.24-3.28, 3 Hg 3.61
Tl (0.2500, 0.5625, 0.6562)  1 Pt 2.93
Tl (0.7500, 0.4375, 0.3438)  1 Pt 2.93
Hg (0.2500, 0.6962, 0.3189)  3 Tl 3.41-3.70, 6 Ba 3.56-3.78
Hg (0.7500, 0.3038, 0.6811)  3 Tl 3.41-3.70, 6 Ba 3.56-3.78
Pt (0.2500, 0.9025, 0.9192)  2 Pt 2.91, 1 Tl 2.93, 2 Ba 3.24
Pt (0.7500, 0.0975, 0.0808)  2 Pt 2.91, 1 Tl 2.93, 2 Ba 3.24

---

No. 7
DFT (PBE-GGA) results for crystalline Sr3CaPb at its relaxed geometry.

Summary:
Polymorph energy (0 for the lowest one) in meV/atom: 0
SG: Pm-3m, No. 221

Cell lengths 6.4611, 6.4611, 6.4611 Å; angles 90.00, 90.00, 90.00 degrees
With the nearest neighbours (Å) after each atom.
Sites, in units of the cell vectors:
Pb (0.0000, 0.0000, 0.0000)  6 Sr 3.23
Sr (0.0000, 0.5000, 0.0000)  2 Pb 3.23
Sr (0.0000, 0.0000, 0.5000)  2 Pb 3.23
Sr (0.5000, 0.0000, 0.0000)  2 Pb 3.23
Ca (0.5000, 0.5000, 0.5000)  12 Sr 4.57

---

No. 8
DFT (PBE-GGA) results for crystalline CuSeSN2 at its relaxed geometry.

Summary:
Polymorph energy (0 for the lowest one) in meV/atom: 220
SG: P4/mmm, No. 123
Formation energy (no corrections) in kJ/mol of formula units: 745

Cell lengths 3.6590, 3.6590, 6.5634 Å; angles 90.00, 90.00, 90.00 degrees
With the nearest neighbours (Å) after each atom.
Sites, in units of the cell vectors:
S (0.5000, 0.5000, 0.5000)  4 Se 2.59
Cu (0.0000, 0.0000, 0.0000)  4 N 1.83
Se (0.0000, 0.0000, 0.5000)  4 S 2.59
N (0.0000, 0.5000, 0.0000)  2 Cu 1.83
N (0.5000, 0.0000, 0.0000)  2 Cu 1.83

---

No. 9
DFT (PBE-GGA) results for crystalline Y2CrPd2 at its relaxed geometry.

Summary:
Electronic total energy in eV per atom: -7.065
SG: P4/mbm, No. 127

Cell lengths 7.5169, 7.5169, 3.8607 Å; angles 90.00, 90.00, 90.00 degrees
With the nearest neighbours (Å) after each atom.
Sites, in units of the cell vectors:
Y (0.1719, 0.6719, 0.5000)  6 Pd 2.84-3.01
Y (0.6719, 0.8281, 0.5000)  6 Pd 2.84-3.01
Y (0.8281, 0.3281, 0.5000)  6 Pd 2.84-3.01
Y (0.3281, 0.1719, 0.5000)  6 Pd 2.84-3.01
Cr (0.0000, 0.0000, 0.0000)  4 Pd 2.94
Cr (0.5000, 0.5000, 0.0000)  4 Pd 2.94
Pd (0.3676, 0.8676, 0.0000)  1 Pd 2.81, 6 Y 2.84-3.01, 2 Cr 2.94
Pd (0.8676, 0.6324, 0.0000)  1 Pd 2.81, 6 Y 2.84-3.01, 2 Cr 2.94
Pd (0.6324, 0.1324, 0.0000)  1 Pd 2.81, 6 Y 2.84-3.01, 2 Cr 2.94
Pd (0.1324, 0.3676, 0.0000)  1 Pd 2.81, 6 Y 2.84-3.01, 2 Cr 2.94

---

No. 10
DFT (PBE-GGA) results for crystalline SmScSO2 at its relaxed geometry.

Summary:
SG: P2_1/m, No. 11
Formation energy (no corrections) in kJ/mol of formula units: -1462

Cell lengths 4.0209, 6.6943, 7.5466 Å; angles 117.02, 90.00, 90.00 degrees
With the nearest neighbours (Å) after each atom.
Sites, in units of the cell vectors:
Sm (0.2500, 0.6947, 0.9490)  4 O 2.34-2.43
Sm (0.7500, 0.3053, 0.0510)  4 O 2.34-2.43
Sc (0.2500, 0.6518, 0.4488)  4 O 2.05-2.11
Sc (0.7500, 0.3482, 0.5512)  4 O 2.05-2.11
S (0.2500, 0.0077, 0.7737)  1 Sc 2.53
S (0.7500, 0.9923, 0.2263)  1 Sc 2.53
O (0.7500, 0.5447, 0.4078)  3 Sc 2.05-2.11
O (0.2500, 0.4553, 0.5922)  3 Sc 2.05-2.11
O (0.7500, 0.4946, 0.8563)  1 Sc 2.05
O (0.2500, 0.5054, 0.1437)  1 Sc 2.05

---

No. 11
DFT (PBE-GGA) results for crystalline Sc2SiP at its relaxed geometry.

Summary:
Polymorph energy (0 for the lowest one) in meV/atom: 398
SG: Cmmm, No. 65
Formation energy (no corrections) in kJ/mol of formula units: -291

Cell lengths 3.2187, 3.2187, 7.2625 Å; angles 90.00, 90.00, 104.17 degrees
With the nearest neighbours (Å) after each atom.
Sites, in units of the cell vectors:
P (0.5000, 0.5000, 0.7500)  4 Sc 2.61
Sc (0.0000, 0.0000, 0.9852)  2 P 2.61, 2 Si 2.76
Sc (0.0000, 0.0000, 0.5148)  2 P 2.61, 2 Si 2.76
Si (0.5000, 0.5000, 0.2500)  4 Sc 2.76

---

No. 12
DFT (PBE-GGA) results for crystalline AgPt2Au at its relaxed geometry.

Summary:
Polymorph energy (0 for the lowest one) in meV/atom: 44
SG: P2/m, No. 10

Cell lengths 4.8976, 2.7942, 4.8991 Å; angles 89.36, 90.00, 90.00 degrees
With the nearest neighbours (Å) after each atom.
Sites, in units of the cell vectors:
Au (0.5000, 0.7500, 0.7500)  2 Au 2.79, 4 Ag 2.81-2.83, 4 Pt 2.83
Ag (0.5000, 0.2500, 0.2500)  2 Ag 2.79, 4 Au 2.81-2.83, 4 Pt 2.83
Pt (0.0000, 0.9931, 0.0003)  6 Pt 2.78-2.85, 2 Au 2.83, 2 Ag 2.83
Pt (0.0000, 0.5069, 0.4997)  6 Pt 2.78-2.85, 2 Au 2.83, 2 Ag 2.83